No. 1
Crystalline K3HfCd2O6 at its relaxed geometry, computed with PBE-GGA.

Summary:
**Electronic total energy**: -65.66 eV/cell
**Crystal system**: monoclinic
**D(E_F)**: 7.8 states/eV/f.u.
**E_form (uncorrected)**: -167.5 kJ per mole of atoms

Lattice parameters (Å, degrees): 5.892 5.892 6.489 98.55 98.55 120.16
Positions (direct):
1 Cd 0.334 0.666 0.000
2 Hf 0.000 0.000 0.000
3 O 0.765 0.765 0.193
4 O 0.635 0.935 0.810
5 K 0.174 0.826 0.500
6 O 0.365 0.065 0.190
7 O 0.065 0.365 0.190
8 O 0.235 0.235 0.807
9 Cd 0.666 0.334 0.000
10 K 0.500 0.500 0.500
11 O 0.935 0.635 0.810
12 K 0.826 0.174 0.500

No. 2
Crystalline FeCo2S2 at its relaxed geometry, computed with PBE-GGA.

Summary:
**Electronic total energy**: -30.36 eV/cell
**Crystal system**: tetragonal
**D(E_F)**: 4.7 states/eV/f.u.
**E_form (uncorrected)**: 11.0 kJ per mole of atoms
**Polymorph energy (0 for the lowest one)**: 0.054 eV/atom

Lattice parameters (Å, degrees): 3.529 3.529 5.956 72.77 72.77 90.00
Positions (direct):
1 Co 0.750 0.250 0.500
2 Co 0.250 0.750 0.500
3 S 0.629 0.629 0.741
4 Fe 0.000 0.000 0.000
5 S 0.371 0.371 0.259

No. 3
Crystalline As3OsN at its relaxed geometry, computed with PBE-GGA.

Summary:
**Electronic total energy**: -25.19 eV/cell
**Crystal system**: cubic
**D(E_F)**: 4.3 states/eV/f.u.
**E_form (uncorrected)**: 160.4 kJ per mole of atoms
**Polymorph energy (0 for the lowest one)**: 0.660 eV/atom

Lattice parameters (Å, degrees): 4.740 4.740 4.740 90.00 90.00 90.00
Positions (direct):
1 As 0.000 0.500 0.000
2 N 0.500 0.500 0.500
3 Os 0.000 0.000 0.000
4 As 0.500 0.000 0.000
5 As 0.000 0.000 0.500

No. 4
Crystalline CoSbAu2 at its relaxed geometry, computed with PBE-GGA.

Summary:
**Electronic total energy**: -16.29 eV/cell
**Crystal system**: trigonal
**D(E_F)**: 4.7 states/eV/f.u.
**E_form (uncorrected)**: 36.0 kJ per mole of atoms

Lattice parameters (Å, degrees): 8.903 8.903 8.903 20.55 20.55 20.55
Positions (direct):
1 Au 0.510 0.510 0.510
2 Sb 0.750 0.750 0.750
3 Au 0.990 0.990 0.990
4 Co 0.250 0.250 0.250

No. 5
Crystalline Sr2Os at its relaxed geometry, computed with PBE-GGA.

Summary:
**Electronic total energy**: -18.39 eV/cell
**Crystal system**: cubic
**E_form**: 521 kJ/mol of formula units
**D(E_F)**: 3.5 states/eV/f.u.

Lattice parameters (Å, degrees): 6.207 6.207 6.207 60.00 60.00 60.00
Positions (direct):
1 Sr 0.125 0.625 0.125
2 Sr 0.125 0.125 0.125
3 Sr 0.625 0.125 0.125
4 Sr 0.125 0.125 0.625
5 Os 0.500 0.500 0.500
6 Os 0.750 0.750 0.750

No. 6
Crystalline Sr2AsS2 at its relaxed geometry, computed with PBE-GGA.

Summary:
**Electronic total energy**: -42.63 eV/cell
**Crystal system**: tetragonal
**D(E_F)**: 4.1 states/eV/f.u.
**E_form (uncorrected)**: -97.4 kJ per mole of atoms
**Polymorph energy (0 for the lowest one)**: 0.000 eV/atom

Lattice parameters (Å, degrees): 8.277 8.277 3.826 90.00 90.00 90.00
Positions (direct):
1 S 0.156 0.656 0.500
2 S 0.344 0.156 0.500
3 Sr 0.652 0.152 0.000
4 Sr 0.152 0.348 0.000
5 S 0.844 0.344 0.500
6 As 0.500 0.500 0.000
7 Sr 0.848 0.652 0.000
8 Sr 0.348 0.848 0.000
9 As 0.000 0.000 0.000
10 S 0.656 0.844 0.500

No. 7
Crystalline URuPt at its relaxed geometry, computed with PBE-GGA.

Summary:
**Electronic total energy**: -27.21 eV/cell
**Crystal system**: trigonal
**E_form**: -58 kJ/mol of formula units
**D(E_F)**: 5.3 states/eV/f.u.
**Polymorph energy (0 for the lowest one)**: 0.061 eV/atom

Lattice parameters (Å, degrees): 2.923 4.592 4.592 120.00 90.00 90.00
Positions (direct):
1 Pt 0.324 0.333 0.667
2 U 0.957 0.000 0.000
3 Ru 0.719 0.667 0.333

No. 8
Crystalline ScCo2CuC at its relaxed geometry, computed with PBE-GGA.

Summary:
**Electronic total energy**: -34.27 eV/cell
**Crystal system**: tetragonal
**E_form**: -40 kJ/mol of formula units
**D(E_F)**: 3.5 states/eV/f.u.
**Polymorph energy (0 for the lowest one)**: 0.000 eV/atom

Lattice parameters (Å, degrees): 3.854 3.854 3.924 90.00 90.00 90.00
Positions (direct):
1 Co 0.500 0.000 0.000
2 Co 0.000 0.500 0.000
3 C 0.000 0.000 0.000
4 Sc 0.500 0.500 0.500
5 Cu 0.000 0.000 0.500

No. 9
Crystalline Tb3Tm3CuRu2 at its relaxed geometry, computed with PBE-GGA.

Summary:
**Electronic total energy**: -51.80 eV/cell
**Crystal system**: hexagonal
**E_form**: -179 kJ/mol of formula units
**D(E_F)**: 6.5 states/eV/f.u.

Lattice parameters (Å, degrees): 4.788 7.208 7.208 120.00 90.00 90.00
Positions (direct):
1 Tb 0.500 0.269 0.269
2 Tb 0.500 0.731 0.000
3 Tm 0.000 0.000 0.415
4 Tm 0.000 0.415 0.000
5 Ru 0.500 0.333 0.667
6 Ru 0.500 0.667 0.333
7 Tb 0.500 0.000 0.731
8 Tm 0.000 0.585 0.585
9 Cu 0.000 0.000 0.000

No. 10
Crystalline In3SiOs at its relaxed geometry, computed with PBE-GGA.

Summary:
**Electronic total energy**: -21.18 eV/cell
**Crystal system**: cubic
**D(E_F)**: 4.6 states/eV/f.u.
**E_form (uncorrected)**: 71.2 kJ per mole of atoms
**Polymorph energy (0 for the lowest one)**: 0.000 eV/atom

Lattice parameters (Å, degrees): 5.172 5.172 5.172 90.00 90.00 90.00
Positions (direct):
1 In 0.000 0.000 0.500
2 Os 0.000 0.000 0.000
3 In 0.500 0.000 0.000
4 In 0.000 0.500 0.000
5 Si 0.500 0.500 0.500

No. 11
Crystalline CePm2Ga6 at its relaxed geometry, computed with PBE-GGA.

Summary:
**Electronic total energy**: -37.42 eV/cell
**Crystal system**: orthorhombic
**E_form**: -369 kJ/mol of formula units
**D(E_F)**: 10.7 states/eV/f.u.
**Polymorph energy (0 for the lowest one)**: 0.227 eV/atom

Lattice parameters (Å, degrees): 4.406 7.918 7.918 54.50 73.84 73.84
Positions (direct):
1 Ga 0.820 0.489 0.871
2 Ce 0.500 0.500 0.500
3 Ga 0.000 0.816 0.184
4 Ga 0.000 0.184 0.816
5 Pm 0.629 0.871 0.871
6 Pm 0.371 0.129 0.129
7 Ga 0.820 0.871 0.489
8 Ga 0.180 0.511 0.129
9 Ga 0.180 0.129 0.511

No. 12
Crystalline Pm5Tm5Th2 at its relaxed geometry, computed with PBE-GGA.

Summary:
**Electronic total energy**: -60.57 eV/cell
**Crystal system**: monoclinic
**E_form**: 36 kJ/mol of formula units
**D(E_F)**: 16.3 states/eV/f.u.

Lattice parameters (Å, degrees): 5.039 10.714 7.998 98.32 71.64 76.40
Positions (direct):
1 Tm 0.000 0.500 0.500
2 Th 0.330 0.502 0.838
3 Pm 0.333 0.749 0.586
4 Pm 0.667 0.251 0.414
5 Th 0.670 0.498 0.162
6 Pm 0.000 0.000 0.000
7 Pm 0.996 0.253 0.754
8 Tm 0.330 0.255 0.085
9 Tm 0.670 0.745 0.915
10 Tm 0.665 0.002 0.667
11 Pm 0.004 0.747 0.246
12 Tm 0.335 0.998 0.333